Here is a relaxed Pr3Al2Zn9 crystal from Alexandria via LeMat-Bulk. Energies are from PBE-GGA.

Calculated values
For the formation energy from the elements, the calculation gives -0.336 eV/atom. The value obtained for the volume is 544 Å³/cell.

Cell lengths 4.531, 8.890, 13.500 Å; angles 90.00, 90.00, 90.00 degrees
Space group Immm (No. 71)
Unique sites:
Pr 0.000 0.000 0.000 [2 per cell]
Pr 0.000 0.000 0.289 [4 per cell]
Al 0.000 0.181 0.500 [4 per cell]
Zn 0.000 0.284 0.142 [8 per cell]
Zn 0.000 0.359 0.347 [8 per cell]
Zn 0.000 0.500 0.000 [2 per cell]

Here is a relaxed K2ClF5 crystal from Alexandria via LeMat-Bulk. Energies are from PBE-GGA.

Calculated values
The value obtained for the volume is 653 Å³/cell. Its raw formation energy is -1.7668 eV/atom.

Cell lengths 10.782, 8.383, 7.604 Å; angles 90.00, 108.19, 90.00 degrees
Space group P2_1/c (No. 14)
Unique sites:
K 0.006 0.132 0.216 [4 per cell]
K 0.342 0.105 0.085 [4 per cell]
Cl 0.291 0.523 0.120 [4 per cell]
F 0.101 0.132 0.941 [4 per cell]
F 0.141 0.616 0.987 [4 per cell]
F 0.291 0.639 0.320 [4 per cell]
F 0.296 0.094 0.415 [4 per cell]
F 0.442 0.084 0.765 [4 per cell]